No. 1
The following is a GGA-PBE calculation of an optimized crystal structure of MnIn2Au, from the Alexandria database.

Space-group type   Fm-3m
ΔE to the lowest computed polymorph   109 meV/atom
Total magnetization   3.69 μB/f.u.
DFT formation energy   13.7 kJ per mole of atoms
N(E_F)   0.784 states/eV/atom
E_tot   -0.319 Ry per atom

Cell: 4.838 4.838 4.838 Å, 60.00 60.00 60.00°
Last column: magnetic moment on the atom in μB.
Positions (direct):
1 Mn 0.000 0.000 0.000  3.60
2 Au 0.500 0.500 0.500  0.01
3 In 0.250 0.250 0.250  -0.05
4 In 0.750 0.750 0.750  -0.05

=====

No. 2
The following is a GGA-PBE calculation of an optimized crystal structure of ZrNbPdRu, from the Alexandria database.

Space-group type   F-43m
Total magnetization   0.00 μB/f.u.
DFT formation energy   -30.7 kJ per mole of atoms
N(E_F)   1.071 states/eV/atom
E_tot   -0.631 Ry per atom

Cell: 4.618 4.618 4.618 Å, 60.00 60.00 60.00°
Positions (direct):
1 Ru 0.750 0.750 0.750
2 Nb 0.000 0.000 0.000
3 Zr 0.500 0.500 0.500
4 Pd 0.250 0.250 0.250

=====

No. 3
The following is a GGA-PBE calculation of an optimized crystal structure of MgCdGa2, from the Alexandria database.

Space-group type   P4/mmm
ΔE to the lowest computed polymorph   0 meV/atom
Total magnetization   0.00 μB/f.u.
DFT formation energy   -5.6 kJ per mole of atoms
N(E_F)   0.353 states/eV/atom
E_tot   -0.162 Ry per atom

Cell: 4.134 4.399 4.399 Å, 90.00 90.00 90.00°
Positions (direct):
1 Mg 0.500 0.500 0.500
2 Ga 0.000 0.000 0.500
3 Ga 0.000 0.500 0.000
4 Cd 0.500 0.000 0.000

=====

No. 4
The following is a GGA-PBE calculation of an optimized crystal structure of La2Dy6Er3Th, from the Alexandria database.

Space-group type   C2/m
Total magnetization   0.00 μB/f.u.
DFT formation energy   3.2 kJ per mole of atoms
N(E_F)   1.469 states/eV/atom
E_tot   -0.356 Ry per atom

Cell: 6.196 6.196 11.791 Å, 95.03 95.03 119.97°
Positions (direct):
1 La 0.333 0.667 0.000
2 La 0.667 0.333 0.000
3 Dy 0.915 0.586 0.747
4 Dy 0.757 0.757 0.253
5 Dy 0.085 0.414 0.253
6 Dy 0.586 0.915 0.747
7 Dy 0.243 0.243 0.747
8 Dy 0.414 0.085 0.253
9 Er 0.167 0.833 0.500
10 Er 0.833 0.167 0.500
11 Er 0.500 0.500 0.500
12 Th 0.000 0.000 0.000

=====

No. 5
The following is a GGA-PBE calculation of an optimized crystal structure of TaIn2Au, from the Alexandria database.

Space-group type   P2/m
ΔE to the lowest computed polymorph   120 meV/atom
Total magnetization   0.00 μB/f.u.
DFT formation energy   18.4 kJ per mole of atoms
N(E_F)   0.619 states/eV/atom
E_tot   -0.365 Ry per atom

Cell: 4.556 3.002 5.996 Å, 91.40 90.00 90.00°
Positions (direct):
1 Au 0.500 0.750 0.750
2 In 0.000 0.730 0.012
3 In 0.000 0.770 0.488
4 Ta 0.500 0.250 0.250

=====

No. 6
The following is a GGA-PBE calculation of an optimized crystal structure of La2PrAgTe5, from the Alexandria database.

Space-group type   Cmc2_1
Total magnetization   0.00 μB/f.u.
N(E_F)   0.008 states/eV/atom
E_tot   -0.366 Ry per atom
Uncorrected formation energy   -124.6 kJ per mole of atoms

Cell: 4.492 9.892 13.473 Å, 90.00 90.00 103.12°
Positions (direct):
1 La 0.878 0.755 0.808
2 La 0.111 0.222 0.685
3 La 0.122 0.245 0.308
4 La 0.889 0.778 0.185
5 Pr 0.806 0.612 0.509
6 Pr 0.194 0.388 0.009
7 Ag 0.566 0.132 0.959
8 Ag 0.434 0.868 0.459
9 Te 0.361 0.722 0.000
10 Te 0.691 0.382 0.839
11 Te 0.499 0.998 0.776
12 Te 0.289 0.578 0.675
13 Te 0.959 0.918 0.574
14 Te 0.639 0.278 0.500
15 Te 0.309 0.618 0.339
16 Te 0.501 0.002 0.276
17 Te 0.711 0.422 0.175
18 Te 0.041 0.082 0.074

=====

No. 7
The following is a GGA-PBE calculation of an optimized crystal structure of ZnSnSO2, from the Alexandria database.

Space-group type   P4/mmm
Total magnetization   0.00 μB/f.u.
N(E_F)   1.135 states/eV/atom
E_tot   -0.288 Ry per atom
Uncorrected formation energy   -5.3 kJ per mole of atoms

Cell: 3.786 6.447 3.786 Å, 90.00 90.00 90.00°
Positions (direct):
1 S 0.500 0.500 0.500
2 Zn 0.000 0.000 0.000
3 Sn 0.000 0.500 0.000
4 O 0.000 0.000 0.500
5 O 0.500 0.000 0.000

=====

No. 8
The following is a GGA-PBE calculation of an optimized crystal structure of Ac3Sb4Rh2, from the Alexandria database.

Space-group type   C2/m
Total magnetization   0.00 μB/f.u.
N(E_F)   0.306 states/eV/atom
E_tot   -0.421 Ry per atom
Uncorrected formation energy   -86.2 kJ per mole of atoms

Cell: 4.844 6.550 8.995 Å, 100.18 90.00 111.70°
Positions (direct):
1 Ac 0.651 0.302 0.660
2 Ac 0.000 0.000 0.000
3 Ac 0.349 0.698 0.340
4 Sb 0.723 0.446 0.081
5 Sb 0.277 0.554 0.919
6 Sb 0.923 0.845 0.613
7 Sb 0.077 0.155 0.387
8 Rh 0.591 0.183 0.279
9 Rh 0.409 0.817 0.721